[1]
Here is a PBEsol-optimized structure of LaNi3 from the Alexandria database. Energies are from meta-GGA SCAN.

The structure in POSCAR format:
```
LaNi3
1.0
7.152 0.000 0.000
0.000 6.566 0.000
0.000 0.000 5.214
La Ni
4 12
direct
0.035 0.250 0.127
0.465 0.750 0.627
0.535 0.250 0.373
0.965 0.750 0.873
0.125 0.750 0.343
0.159 0.060 0.584
0.159 0.440 0.584
0.341 0.560 0.084
0.341 0.940 0.084
0.375 0.250 0.843
0.625 0.750 0.157
0.659 0.060 0.916
0.659 0.440 0.916
0.841 0.560 0.416
0.841 0.940 0.416
0.875 0.250 0.657
```

DFT total energy (eV per atom): -23.095

---

[2]
Here is a PBEsol-optimized structure of NaTe3Pd from the Alexandria database. Energies are from meta-GGA SCAN.

The structure in POSCAR format:
```
NaTe3Pd
1.0
5.278 0.000 0.000
0.000 5.278 0.000
0.000 0.000 5.278
Na Te Pd
1 3 1
direct
0.000 0.000 0.000
0.000 0.000 0.500
0.000 0.500 0.000
0.500 0.000 0.000
0.500 0.500 0.500
```

DFT total energy (eV per atom): -28.836

---

[3]
Here is a PBEsol-optimized structure of TlBiAs2Br from the Alexandria database. Energies are from meta-GGA SCAN.

The structure in POSCAR format:
```
TlBiAs2Br
1.0
5.269 0.000 0.000
0.000 5.269 0.000
0.000 0.000 5.317
Tl Bi As Br
1 1 2 1
direct
0.000 0.000 0.000
0.500 0.500 0.500
0.000 0.500 0.000
0.500 0.000 0.000
0.000 0.000 0.500
```

DFT total energy (eV per atom): -41.406